(1)
Compound: TbGaH
Source: Alexandria
Functional: PBE
Structure: relaxed

Calculated values
The value obtained for the magnetic moment is 0.00 μB per formula unit. The value obtained for the density of states at the Fermi level is 2.1 states/eV/cell. The volume is 54.9 Å³/f.u. The total energy is -12.155 eV/f.u.

a = 3.6782 Å, b = 3.6782 Å, c = 4.6819 Å
α = 90.00°, β = 90.00°, γ = 120.00°
Space group P3m1 (No. 156)
One atom of each set of equivalent atoms:
Tb 0.0000 0.0000 0.0000
Ga 0.6667 0.3333 0.5002
H 0.3333 0.6667 0.9969

---

(2)
Compound: GaTcH
Source: Alexandria
Functional: PBE
Structure: relaxed

Calculated values
The value obtained for the magnetic moment is 0.00 μB per formula unit. The value obtained for the density of states at the Fermi level is 1.7 states/eV/cell. The volume is 33.1 Å³/f.u. The total energy is -16.976 eV/f.u.

a = 3.2245 Å, b = 3.2245 Å, c = 3.6810 Å
α = 90.00°, β = 90.00°, γ = 120.00°
Space group P3m1 (No. 156)
One atom of each set of equivalent atoms:
Ga 0.0000 0.0000 0.0000
Tc 0.3333 0.6667 0.5003
H 0.6667 0.3333 0.4956

---

(3)
Compound: Ga2TcH
Source: Alexandria
Functional: PBE
Structure: relaxed

Calculated values
The value obtained for the magnetic moment is 0.00 μB per formula unit. The value obtained for the density of states at the Fermi level is 0.7 states/eV/cell. The volume is 48.5 Å³/f.u. The total energy is -19.126 eV/f.u.

a = 6.307 Å, b = 6.307 Å, c = 4.879 Å
α = 90.00°, β = 90.00°, γ = 90.00°
Space group I-42d (No. 122)
One atom of each set of equivalent atoms:
Ga 0.172 0.250 0.125
Tc 0.000 0.000 0.500
H 0.000 0.000 0.000

---

volume of number 2 (GaTcH)?
33.1 Å³/f.u.